Entry 1:
Computed, not measured: a relaxed YMo6S8 crystal at the PBEsol level of DFT.

Computed properties:
Calculated total energy (eV/atom): -8.50
Size of the total moment (μB/atom): 0.000
Formation energy without anion corrections (eV per formula unit): -15.03

Lattice parameters (Å, degrees): 8.9521 8.9521 11.2550 90.00 90.00 120.00
Last column: nearest neighbours and their distance in Å.
Space group R-3 (No. 148, hexagonal axes)
Asymmetric unit:
Y1 0.0000 0.0000 0.0000 x3  8 S 2.68-2.93
Mo1 0.0193 0.8396 0.4007 x18  5 S 2.38-2.54, 2 Mo 2.65
S1 0.0000 0.0000 0.2382 x6  3 Mo 2.38
S2 0.0047 0.3808 0.7511 x18  4 Mo 2.42-2.54

***

Entry 2:
Computed, not measured: a relaxed MnPbBr2 crystal at the PBEsol level of DFT.

Computed properties:
Energy above the lowest structure with this stoichiometry (eV/atom): 0.0477
Calculated total energy (eV/atom): -4.54
Size of the total moment (μB/atom): 1.132
Formation energy without anion corrections (eV per formula unit): -0.66

Lattice parameters (Å, degrees): 3.5298 6.2638 9.5090 90.00 90.00 90.00
Last column: nearest neighbours and their distance in Å.
Space group Cmmm (No. 65)
Asymmetric unit:
Mn1 0.0000 0.0000 0.0000 x2  4 Br 2.54
Pb1 0.0000 0.0000 0.5000 x2  4 Br 3.42, 6 Pb 3.53-3.59
Br1 0.0000 0.5000 0.1919 x4  2 Mn 2.54

***

Entry 3:
Computed, not measured: a relaxed K2PtAu crystal at the PBEsol level of DFT.

Computed properties:
Energy above the lowest structure with this stoichiometry (eV/atom): 0.0000
Calculated total energy (eV/atom): -3.12
Size of the total moment (μB/atom): 0.000
ΔH_f (0 K) (eV per atom): 0.170

Lattice parameters (Å, degrees): 7.1475 7.1475 7.1475 90.00 90.00 90.00
Last column: nearest neighbours and their distance in Å.
Space group F-43m (No. 216)
Asymmetric unit:
K1 0.0000 0.0000 0.0000 x4  4 K 3.09, 4 Pt 3.09
K2 0.2500 0.2500 0.2500 x4  4 K 3.09, 4 Au 3.09
Pt1 0.2500 0.2500 0.7500 x4  4 K 3.09, 4 Au 3.09
Au1 0.0000 0.0000 0.5000 x4  4 Pt 3.09, 4 K 3.09

***

Entry 4:
Computed, not measured: a relaxed IrRh2Br crystal at the PBEsol level of DFT.

Computed properties:
Energy above the lowest structure with this stoichiometry (eV/atom): 0.0000
Calculated total energy (eV/atom): -6.40
Size of the total moment (μB/atom): 0.000
Formation energy without anion corrections (eV per formula unit): 2.38

Lattice parameters (Å, degrees): 2.7303 4.8651 9.1508 90.00 90.00 90.00
Last column: nearest neighbours and their distance in Å.
Space group Cmmm (No. 65)
Asymmetric unit:
Ir1 0.0000 0.0000 0.0000 x2  4 Rh 2.62, 6 Ir 2.73-2.79
Rh1 0.0000 0.5000 0.2439 x4  2 Ir 2.62, 2 Br 2.71, 6 Rh 2.73-2.79
Br1 0.0000 0.0000 0.5000 x2  4 Rh 2.71, 6 Br 2.73-2.79

***

Entry 5:
Computed, not measured: a relaxed Ta2RhCl crystal at the PBEsol level of DFT.

Computed properties:
Energy above the lowest structure with this stoichiometry (eV/atom): 0.0000
Calculated total energy (eV/atom): -8.95
Size of the total moment (μB/atom): 0.000
Formation energy without anion corrections (eV per formula unit): -0.57

Lattice parameters (Å, degrees): 2.9004 2.9004 7.1074 90.00 90.00 90.00
Last column: nearest neighbours and their distance in Å.
Space group P4/mmm (No. 123)
Asymmetric unit:
Ta1 0.0000 0.0000 0.2407 x2  4 Cl 2.67, 4 Rh 2.76, 4 Ta 2.90
Rh1 0.5000 0.5000 0.5000 x1  8 Ta 2.76, 4 Rh 2.90
Cl1 0.5000 0.5000 0.0000 x1  8 Ta 2.67, 4 Cl 2.90

***

Entry 6:
Computed, not measured: a relaxed InMo crystal at the PBEsol level of DFT.

Computed properties:
Energy above the lowest structure with this stoichiometry (eV/atom): 0.3377
Calculated total energy (eV/atom): -6.82
Size of the total moment (μB/atom): 0.000
ΔH_f (0 K) (eV per atom): 0.552

Lattice parameters (Å, degrees): 3.2643 3.2643 3.2643 90.00 90.00 90.00
Last column: nearest neighbours and their distance in Å.
Space group Pm-3m (No. 221)
Asymmetric unit:
In1 0.0000 0.0000 0.0000 x1  8 Mo 2.83
Mo1 0.5000 0.5000 0.5000 x1  8 In 2.83

***

What ρ values result from the calculations? In sequence: 5.87; 6.67; 8.55; 13.06; 13.89; 10.06 Mg/m³.